Material: K2CoAuF
Method: DFT, PBE with a Hubbard U
State: relaxed

POSCAR file:
```
K2CoAuF
1.0
4.787 0.000 0.000
0.000 6.010 0.000
0.000 0.000 4.787
Co K Au F
1 2 1 1
direct
0.500 0.500 0.500
0.000 0.000 0.500
0.500 0.000 0.000
0.000 0.500 0.000
0.000 0.000 0.000
```

Calculated values
- Energy: -2.867 eV/atom
- Theoretical density: 4.258 Mg/m³
- Crystal system: tetragonal
- Magnetic moment: 2.285 μB per cell